# CaPdPt2, relaxed, DFT PBE
data_CaPdPt2
_chemical_formula_sum 'Ca4 Pd4 Pt8'
_symmetry_space_group_name_H-M 'F m -3 m'
_symmetry_Int_Tables_number 225
_symmetry_space_group_name_Hall '-F 4 2 3'
_cell_length_a 6.585
_cell_length_b 6.585
_cell_length_c 6.585
_cell_angle_alpha 90.00
_cell_angle_beta 90.00
_cell_angle_gamma 90.00
loop_
_atom_site_label
_atom_site_type_symbol
_atom_site_fract_x
_atom_site_fract_y
_atom_site_fract_z
Ca1 Ca 0.000 0.000 0.000
Pd1 Pd 0.000 0.000 0.500
Pt1 Pt 0.250 0.250 0.250
# - M_tot: 0.0 μB per formula unit
# - Total energy: -5.18 eV/atom
# - D(E_F): 1.91 states/eV/f.u.

---

# ScRuSeBr2, relaxed, DFT PBE
data_ScRuSeBr2
_chemical_formula_sum 'Sc1 Ru1 Se1 Br2'
_symmetry_space_group_name_H-M 'P 4/m m m'
_symmetry_Int_Tables_number 123
_symmetry_space_group_name_Hall '-P 4 2'
_cell_length_a 5.228
_cell_length_b 5.228
_cell_length_c 5.225
_cell_angle_alpha 90.00
_cell_angle_beta 90.00
_cell_angle_gamma 90.00
loop_
_atom_site_label
_atom_site_type_symbol
_atom_site_fract_x
_atom_site_fract_y
_atom_site_fract_z
Sc1 Sc 0.000 0.000 0.000
Ru1 Ru 0.500 0.500 0.500
Se1 Se 0.000 0.000 0.500
Br1 Br 0.000 0.500 0.000
# - M_tot: 3.0 μB per formula unit
# - Distance to the lowest polymorph of the same formula: 0.0000 eV/atom
# - Total energy: -4.49 eV/atom
# - Raw formation energy: -0.01 eV per atom
# - D(E_F): 2.31 states/eV/f.u.

---

# SmNi6H8, relaxed, DFT PBE
data_SmNi6H8
_chemical_formula_sum 'Sm3 Ni18 H24'
_symmetry_space_group_name_H-M 'R -3'
_symmetry_Int_Tables_number 148
_symmetry_space_group_name_Hall '-R 3'
_cell_length_a 7.3895
_cell_length_b 7.3895
_cell_length_c 7.5818
_cell_angle_alpha 90.00
_cell_angle_beta 90.00
_cell_angle_gamma 120.00
loop_
_atom_site_label
_atom_site_type_symbol
_atom_site_fract_x
_atom_site_fract_y
_atom_site_fract_z
Sm1 Sm 0.0000 0.0000 0.0000
Ni1 Ni 0.0203 0.7914 0.6336
H1 H 0.0000 0.0000 0.3081
H2 H 0.0048 0.3976 0.2360
# - M_tot: 0.0 μB per formula unit
# - Total energy: -4.55 eV/atom
# - D(E_F): 5.46 states/eV/f.u.

---

# ZnCu3F8, relaxed, DFT PBE
data_ZnCu3F8
_chemical_formula_sum 'Zn2 Cu6 F16'
_symmetry_space_group_name_H-M 'C 1 m 1'
_symmetry_Int_Tables_number 8
_cell_length_a 13.331
_cell_length_b 3.920
_cell_length_c 6.674
_cell_angle_alpha 90.00
_cell_angle_beta 109.06
_cell_angle_gamma 90.00
loop_
_symmetry_equiv_pos_as_xyz
'x,y,z'
'x,-y,z'
'x+1/2,y+1/2,z'
'x+1/2,-y+1/2,z'
loop_
_atom_site_label
_atom_site_type_symbol
_atom_site_fract_x
_atom_site_fract_y
_atom_site_fract_z
Zn1 Zn 0.000 0.000 0.000
Cu1 Cu 0.093 0.000 0.583
Cu2 Cu 0.299 0.000 0.005
Cu3 Cu 0.391 0.000 0.591
F1 F 0.042 0.500 0.563
F2 F 0.082 0.000 0.297
F3 F 0.124 0.000 0.886
F4 F 0.264 0.000 0.694
F5 F 0.310 0.000 0.291
F6 F 0.346 0.500 0.018
F7 F 0.413 0.500 0.632
F8 F 0.471 0.000 0.930
# - M_tot: 3.0 μB per formula unit
# - Total energy: -4.04 eV/atom
# - Raw formation energy: -1.66 eV per atom
# - D(E_F): 4.25 states/eV/f.u.

---

# Y3HoBi3, relaxed, DFT PBE
data_Y3HoBi3
_chemical_formula_sum 'Y12 Ho4 Bi12'
_symmetry_space_group_name_H-M 'P 21 3'
_symmetry_Int_Tables_number 198
_symmetry_space_group_name_Hall 'P 2ac 2ab 3'
_cell_length_a 9.395
_cell_length_b 9.395
_cell_length_c 9.395
_cell_angle_alpha 90.00
_cell_angle_beta 90.00
_cell_angle_gamma 90.00
loop_
_atom_site_label
_atom_site_type_symbol
_atom_site_fract_x
_atom_site_fract_y
_atom_site_fract_z
Y1 Y 0.072 0.428 0.572
Y2 Y 0.177 0.177 0.177
Y3 Y 0.177 0.823 0.323
Ho1 Ho 0.073 0.573 0.927
Bi1 Bi 0.000 0.251 0.874
# - M_tot: 0.0 μB per formula unit
# - Distance to the lowest polymorph of the same formula: 0.0000 eV/atom
# - Total energy: -5.84 eV/atom
# - D(E_F): 8.39 states/eV/f.u.

---

# CoMo2W, relaxed, DFT PBE
data_CoMo2W
_chemical_formula_sum 'Co2 Mo4 W2'
_symmetry_space_group_name_H-M 'C m m m'
_symmetry_Int_Tables_number 65
_symmetry_space_group_name_Hall '-C 2 2'
_cell_length_a 5.418
_cell_length_b 8.032
_cell_length_c 2.727
_cell_angle_alpha 90.00
_cell_angle_beta 90.00
_cell_angle_gamma 90.00
loop_
_atom_site_label
_atom_site_type_symbol
_atom_site_fract_x
_atom_site_fract_y
_atom_site_fract_z
Co1 Co 0.000 0.000 0.000
Mo1 Mo 0.250 0.250 0.500
W1 W 0.000 0.500 0.000
# - M_tot: 0.0 μB per formula unit
# - Distance to the lowest polymorph of the same formula: 0.2152 eV/atom
# - Total energy: -10.14 eV/atom
# - D(E_F): 4.73 states/eV/f.u.